(1)
A relaxed Sr3BeAg crystal. Source: Alexandria, functional GGA-PBE.

DFT total energy = -2.00 eV per atom
Space group = No. 221
M_tot = 0.00 μB per formula unit
Calculated volume = 202 Å³ per cell
Relative energy among the computed polymorphs = 0.00 eV/f.u.
Energy relative to the elements = 0.3198 eV/atom

Unit cell a=5.871 b=5.871 c=5.871 alpha=90.00 beta=90.00 gamma=90.00
Atoms (fractional coordinates):
Sr 0.000 0.500 0.000
Sr 0.000 0.000 0.500
Sr 0.500 0.000 0.000
Ag 0.500 0.500 0.500
Be 0.000 0.000 0.000

(2)
A relaxed Ce5TmGe4 crystal. Source: Alexandria, functional GGA-PBE.

DFT total energy = -5.73 eV per atom
Space group = No. 12
M_tot = 5.28 μB per formula unit
Calculated volume = 273 Å³ per cell
Energy relative to the elements = -0.4728 eV/atom

Unit cell a=4.525 b=7.495 c=9.762 alpha=120.92 beta=103.40 gamma=90.00
Atoms (fractional coordinates):
Ce 0.804 0.609 0.608
Ce 0.851 0.177 0.702
Ce 0.149 0.823 0.298
Ce 0.500 0.500 0.000
Ce 0.196 0.391 0.392
Tm 0.500 0.000 0.000
Ge 0.322 0.888 0.644
Ge 0.972 0.709 0.944
Ge 0.678 0.112 0.356
Ge 0.028 0.291 0.056

(3)
A relaxed La2InCl crystal. Source: Alexandria, functional GGA-PBE.

DFT total energy = -4.57 eV per atom
Space group = No. 166
M_tot = 0.00 μB per formula unit
Calculated volume = 121 Å³ per cell
Relative energy among the computed polymorphs = 0.16 eV/f.u.

Unit cell a=8.315 b=8.315 c=8.315 alpha=29.18 beta=29.18 gamma=29.18
Atoms (fractional coordinates):
Cl 0.250 0.250 0.250
In 0.750 0.750 0.750
La 0.988 0.988 0.988
La 0.512 0.512 0.512

(4)
A relaxed Th3Si3Os2 crystal. Source: Alexandria, functional GGA-PBE.

DFT total energy = -8.31 eV per atom
Space group = No. 63
M_tot = 0.00 μB per formula unit
Calculated volume = 350 Å³ per cell
Relative energy among the computed polymorphs = 0.00 eV/f.u.

Unit cell a=4.169 b=5.884 c=15.243 alpha=90.00 beta=90.00 gamma=110.75
Atoms (fractional coordinates):
Th 0.855 0.709 0.410
Th 0.145 0.291 0.910
Th 0.855 0.709 0.090
Th 0.145 0.291 0.590
Th 0.580 0.160 0.250
Th 0.420 0.840 0.750
Si 0.576 0.153 0.447
Si 0.424 0.847 0.947
Si 0.576 0.153 0.053
Si 0.424 0.847 0.553
Si 0.293 0.587 0.250
Si 0.707 0.413 0.750
Os 0.854 0.707 0.880
Os 0.146 0.293 0.380
Os 0.854 0.707 0.620
Os 0.146 0.293 0.120

(5)
A relaxed Tb3Ho4Sb4 crystal. Source: Alexandria, functional GGA-PBE.

DFT total energy = -5.19 eV per atom
Space group = No. 71
M_tot = 0.00 μB per formula unit
Calculated volume = 318 Å³ per cell

Unit cell a=4.057 b=9.146 c=9.923 alpha=117.44 beta=101.79 gamma=90.00
Atoms (fractional coordinates):
Tb 0.101 0.101 0.201
Tb 0.899 0.899 0.799
Tb 0.000 0.500 0.000
Ho 0.331 0.147 0.662
Ho 0.669 0.485 0.338
Ho 0.669 0.853 0.338
Ho 0.331 0.515 0.662
Sb 0.263 0.763 0.526
Sb 0.737 0.237 0.474
Sb 0.500 0.793 0.000
Sb 0.500 0.207 0.000

(6)
A relaxed Tb2NdHo3Se6 crystal. Source: Alexandria, functional GGA-PBE.

DFT total energy = -5.82 eV per atom
Space group = No. 12
M_tot = 0.00 μB per formula unit
Calculated volume = 292 Å³ per cell

Unit cell a=7.085 b=7.085 c=7.135 alpha=99.48 beta=99.48 gamma=120.27
Atoms (fractional coordinates):
Tb 0.334 0.666 0.000
Tb 0.666 0.334 0.000
Nd 0.000 0.000 0.000
Ho 0.161 0.839 0.500
Ho 0.839 0.161 0.500
Ho 0.500 0.500 0.500
Se 0.914 0.572 0.741
Se 0.744 0.744 0.255
Se 0.086 0.428 0.259
Se 0.572 0.914 0.741
Se 0.256 0.256 0.745
Se 0.428 0.086 0.259

(7)
A relaxed Nd2Ho2Er7 crystal. Source: Alexandria, functional GGA-PBE.

DFT total energy = -4.44 eV per atom
Space group = No. 12
M_tot = 0.00 μB per formula unit
Calculated volume = 353 Å³ per cell
Relative energy among the computed polymorphs = 0.11 eV/f.u.
Energy relative to the elements = 0.1595 eV/atom

Unit cell a=6.024 b=8.559 c=8.559 alpha=83.64 beta=63.78 gamma=63.78
Atoms (fractional coordinates):
Nd 0.127 0.232 0.232
Nd 0.873 0.768 0.768
Ho 0.500 0.218 0.782
Ho 0.500 0.782 0.218
Er 0.173 0.062 0.591
Er 0.827 0.409 0.938
Er 0.827 0.938 0.409
Er 0.173 0.591 0.062
Er 0.000 0.000 0.000
Er 0.624 0.589 0.589
Er 0.376 0.411 0.411

(8)
A relaxed Rb3TlCd crystal. Source: Alexandria, functional GGA-PBE.

DFT total energy = -1.07 eV per atom
Space group = No. 221
M_tot = 0.00 μB per formula unit
Calculated volume = 361 Å³ per cell
Relative energy among the computed polymorphs = 0.92 eV/f.u.
Energy relative to the elements = 0.1715 eV/atom

Unit cell a=7.118 b=7.118 c=7.118 alpha=90.00 beta=90.00 gamma=90.00
Atoms (fractional coordinates):
Tl 0.000 0.000 0.000
Rb 0.000 0.500 0.000
Rb 0.000 0.000 0.500
Rb 0.500 0.000 0.000
Cd 0.500 0.500 0.500

(9)
A relaxed Mn3Cr crystal. Source: Alexandria, functional GGA-PBE.

DFT total energy = -9.14 eV per atom
Space group = No. 59
M_tot = 0.00 μB per formula unit
Calculated volume = 89 Å³ per cell
Energy relative to the elements = 0.1436 eV/atom

Unit cell a=3.997 b=4.498 c=4.927 alpha=90.00 beta=90.00 gamma=90.00
Atoms (fractional coordinates):
Mn 0.500 0.668 0.000
Mn 0.000 0.854 0.265
Mn 0.500 0.146 0.235
Mn 0.000 0.332 0.500
Mn 0.000 0.854 0.735
Mn 0.500 0.146 0.765
Cr 0.000 0.382 0.000
Cr 0.500 0.618 0.500

(10)
A relaxed CaLa2GeC crystal. Source: Alexandria, functional GGA-PBE.

DFT total energy = -5.49 eV per atom
Space group = No. 123
M_tot = 0.00 μB per formula unit
Calculated volume = 131 Å³ per cell
Energy relative to the elements = -0.3508 eV/atom

Unit cell a=5.135 b=5.135 c=4.959 alpha=90.00 beta=90.00 gamma=90.00
Atoms (fractional coordinates):
C 0.000 0.000 0.000
Ge 0.500 0.500 0.500
Ca 0.000 0.000 0.500
La 0.000 0.500 0.000
La 0.500 0.000 0.000

(11)
A relaxed LiBe2Co2 crystal. Source: Alexandria, functional GGA-PBE.

DFT total energy = -4.78 eV per atom
Space group = No. 127
M_tot = 0.75 μB per formula unit
Calculated volume = 95 Å³ per cell
Relative energy among the computed polymorphs = 0.00 eV/f.u.
Energy relative to the elements = -0.0658 eV/atom

Unit cell a=5.918 b=5.918 c=2.707 alpha=90.00 beta=90.00 gamma=90.00
Atoms (fractional coordinates):
Be 0.372 0.872 0.000
Be 0.872 0.628 0.000
Be 0.628 0.128 0.000
Be 0.128 0.372 0.000
Co 0.164 0.664 0.500
Co 0.664 0.836 0.500
Co 0.836 0.336 0.500
Co 0.336 0.164 0.500
Li 0.000 0.000 0.000
Li 0.500 0.500 0.000

(12)
A relaxed SrOs2Se crystal. Source: Alexandria, functional GGA-PBE.

DFT total energy = -6.15 eV per atom
Space group = No. 160
M_tot = 0.00 μB per formula unit
Calculated volume = 74 Å³ per cell

Unit cell a=9.503 b=9.503 c=9.503 alpha=18.37 beta=18.37 gamma=18.37
Atoms (fractional coordinates):
Os 0.988 0.988 0.988
Os 0.250 0.250 0.250
Se 0.513 0.513 0.513
Sr 0.748 0.748 0.748